Density functional theory data (PBE) for crystalline Th4CdCo at its relaxed geometry.

## Properties
The value obtained for the final energy is -0.236 Ha/atom.

```
data_Th4CdCo
_chemical_formula_sum 'Th16 Cd4 Co4'
_cell_length_a 9.7468
_cell_length_b 9.7468
_cell_length_c 9.7468
_cell_angle_alpha 60.00
_cell_angle_beta 60.00
_cell_angle_gamma 60.00
_symmetry_space_group_name_H-M 'P 1'
_symmetry_Int_Tables_number 1
_symmetry_space_group_name_Hall 'P 1'
loop_
_atom_site_label
_atom_site_fract_x
_atom_site_fract_y
_atom_site_fract_z
_atom_site_occupancy
Th1 0.1830 0.1830 0.8170 1
Th2 0.1830 0.8170 0.1830 1
Th3 0.1830 0.8170 0.8170 1
Th4 0.4049 0.4049 0.4049 1
Th5 0.4049 0.4049 0.7853 1
Th6 0.4049 0.7853 0.4049 1
Th7 0.5574 0.5574 0.9426 1
Th8 0.5574 0.9426 0.5574 1
Th9 0.5574 0.9426 0.9426 1
Th10 0.7853 0.4049 0.4049 1
Th11 0.8170 0.1830 0.1830 1
Th12 0.8170 0.1830 0.8170 1
Th13 0.8170 0.8170 0.1830 1
Th14 0.9426 0.5574 0.5574 1
Th15 0.9426 0.5574 0.9426 1
Th16 0.9426 0.9426 0.5574 1
Cd1 0.1726 0.1726 0.1726 1
Cd2 0.1726 0.1726 0.4823 1
Cd3 0.1726 0.4823 0.1726 1
Cd4 0.4823 0.1726 0.1726 1
Co1 0.1693 0.6102 0.6102 1
Co2 0.6102 0.1693 0.6102 1
Co3 0.6102 0.6102 0.1693 1
Co4 0.6102 0.6102 0.6102 1
```